Record 1
# CuBiSb2Te

A PBEsol-optimized structure of CuBiSb2Te (SCAN, Alexandria via LeMat-Bulk).

Properties
- space group = No. 123
- M_tot (μB/cell) = 1.1
- E (eV for the cell shown) = -198.90
- uncorrected formation energy (eV/atom) = 1.33

Cell lengths 5.778, 5.778, 5.746 Å; angles 90.00, 90.00, 90.00 degrees
Sites, in units of the cell vectors:
Cu  0.000  0.000  0.000
Bi  0.500  0.500  0.500
Sb  0.000  0.500  0.500
Sb  0.500  0.000  0.500
Te  0.500  0.500  0.000

Record 2
# ScCu2TcBi

A PBEsol-optimized structure of ScCu2TcBi (SCAN, Alexandria via LeMat-Bulk).

Properties
- space group = No. 123
- M_tot (μB/cell) = 3.2
- calculated formation energy (eV per atom) = 1.261
- E (eV for the cell shown) = -151.97

Cell lengths 4.723, 4.723, 5.465 Å; angles 90.00, 90.00, 90.00 degrees
Sites, in units of the cell vectors:
Sc  0.000  0.000  0.000
Cu  0.000  0.500  0.500
Cu  0.500  0.000  0.500
Tc  0.500  0.500  0.000
Bi  0.000  0.000  0.500